<1>
P2WO7 | PBEsol | optimized geometry

Properties
The density of states at the Fermi level comes out at 0.388 states/eV/atom. For the volume, the calculation gives 14.29 Å³/atom. The total magnetization is 8.000 μB/cell.

Unit cell a=8.299 b=8.299 c=8.299 alpha=90.00 beta=90.00 gamma=90.00
Space group Pa-3 (No. 205)
One atom of each set of equivalent atoms:
P: 0.110 0.110 0.110 x8
W: 0.000 0.000 0.500 x4
O: 0.000 0.000 0.000 x4
O: 0.058 0.217 0.584 x24

---

<2>
P2WO7 | PBEsol | optimized geometry

Properties
The density of states at the Fermi level comes out at 0.391 states/eV/atom. For the volume, the calculation gives 13.88 Å³/atom. The total magnetization is 4.000 μB/cell.

Unit cell a=4.962 b=8.295 c=7.018 alpha=90.00 beta=106.03 gamma=90.00
Space group P2_1 (No. 4)
One atom of each set of equivalent atoms:
P: 0.115 0.000 0.497 x2
P: 0.256 0.425 0.888 x2
W: 0.284 0.689 0.271 x2
O: 0.064 0.285 0.912 x2
O: 0.064 0.516 0.358 x2
O: 0.074 0.546 0.721 x2
O: 0.208 0.826 0.490 x2
O: 0.355 0.529 0.070 x2
O: 0.358 0.119 0.538 x2
O: 0.499 0.866 0.184 x2

---

Stability verdict: <2>, ahead by 15 meV per atom

---

<1>
YP3O9 | PBEsol | optimized geometry

Properties
The density of states at the Fermi level comes out at 0.000 states/eV/atom. For the volume, the calculation gives 15.39 Å³/atom. The total magnetization is 0.001 μB/cell.

Unit cell a=21.2444 b=21.2444 c=12.2839 alpha=90.00 beta=90.00 gamma=120.00
Space group R-3 (No. 148, hexagonal axes)
One atom of each set of equivalent atoms:
Y: 0.0000 0.0000 0.0000 x3
Y: 0.0000 0.0000 0.5000 x3
Y: 0.0324 0.7748 0.2372 x18
P: 0.0280 0.1546 0.1716 x18
P: 0.0280 0.2742 0.0408 x18
P: 0.0411 0.5445 0.1687 x18
P: 0.0827 0.9163 0.6477 x18
O: 0.0002 0.2046 0.1171 x18
O: 0.0007 0.0860 0.1073 x18
O: 0.0092 0.4550 0.7335 x18
O: 0.0094 0.6544 0.5914 x18
O: 0.0129 0.8598 0.7148 x18
O: 0.0218 0.2507 0.9249 x18
O: 0.0221 0.4669 0.1556 x18
O: 0.0258 0.0952 0.6036 x18
O: 0.0389 0.5860 0.0718 x18
O: 0.0604 0.2118 0.7095 x18
O: 0.0753 0.8634 0.5498 x18
O: 0.0916 0.8926 0.1951 x18

---

<2>
YP3O9 | PBEsol | optimized geometry

Properties
The density of states at the Fermi level comes out at 0.000 states/eV/atom. For the volume, the calculation gives 14.81 Å³/atom. The total magnetization is 0.000 μB/cell.

Unit cell a=14.227 b=6.756 c=10.094 alpha=90.00 beta=127.45 gamma=90.00
Space group Cc (No. 9)
One atom of each set of equivalent atoms:
Y: 0.000 0.234 0.000 x4
P: 0.151 0.410 0.834 x4
P: 0.257 0.080 0.772 x4
P: 0.348 0.395 0.663 x4
O: 0.066 0.318 0.856 x4
O: 0.103 0.488 0.173 x4
O: 0.136 0.007 0.631 x4
O: 0.229 0.433 0.479 x4
O: 0.249 0.250 0.875 x4
O: 0.316 0.185 0.697 x4
O: 0.346 0.067 0.396 x4
O: 0.363 0.454 0.284 x4
O: 0.449 0.368 0.657 x4

---

Stability verdict: <1>, ahead by 8 meV per atom

---

<1>
Pb3O4 | PBEsol | optimized geometry

Properties
For the volume, the calculation gives 16.53 Å³/atom. The total magnetization is 0.000 μB/cell.

Unit cell a=6.762 b=9.931 c=3.445 alpha=90.00 beta=90.00 gamma=90.00
Space group Pbam (No. 55)
One atom of each set of equivalent atoms:
Pb: 0.000 0.000 0.000 x2
Pb: 0.016 0.311 0.500 x4
O: 0.148 0.806 0.000 x4
O: 0.166 0.089 0.500 x4

---

<2>
Pb3O4 | PBEsol | optimized geometry

Properties
For the volume, the calculation gives 18.54 Å³/atom. The total magnetization is 0.000 μB/cell.

Unit cell a=8.819 b=8.819 c=6.674 alpha=90.00 beta=90.00 gamma=90.00
Space group P4_2/mbc (No. 135)
One atom of each set of equivalent atoms:
Pb: 0.000 0.500 0.250 x4
Pb: 0.143 0.163 0.000 x8
O: 0.093 0.638 0.000 x8
O: 0.172 0.328 0.250 x8

---

Stability verdict: <2>, ahead by 16 meV per atom

---

<1>
Pb3SO6 | PBEsol | optimized geometry

Properties
The density of states at the Fermi level comes out at 0.000 states/eV/atom. For the volume, the calculation gives 16.28 Å³/atom. The total magnetization is 0.000 μB/cell.

Unit cell a=7.141 b=5.754 c=8.144 alpha=90.00 beta=103.37 gamma=90.00
Space group P2_1/m (No. 11)
One atom of each set of equivalent atoms:
Pb: 0.081 0.250 0.376 x2
Pb: 0.236 0.250 0.846 x2
Pb: 0.399 0.750 0.585 x2
S: 0.294 0.750 0.142 x2
O: 0.160 0.750 0.975 x2
O: 0.179 0.000 0.621 x4
O: 0.180 0.750 0.277 x2
O: 0.421 0.541 0.164 x4

---

<2>
Pb3SO6 | PBEsol | optimized geometry

Properties
The density of states at the Fermi level comes out at 0.000 states/eV/atom. For the volume, the calculation gives 17.96 Å³/atom. The total magnetization is 0.000 μB/cell.

Unit cell a=10.257 b=11.899 c=5.888 alpha=90.00 beta=90.00 gamma=90.00
Space group Cmcm (No. 63)
One atom of each set of equivalent atoms:
Pb: 0.000 0.104 0.250 x4
Pb: 0.239 0.401 0.250 x8
S: 0.000 0.358 0.750 x4
O: 0.000 0.288 0.543 x8
O: 0.120 0.430 0.750 x8
O: 0.142 0.000 0.000 x8

---

Stability verdict: <1>, ahead by 33 meV per atom

---

<1>
Ta2PbO6 | PBEsol | optimized geometry

Properties
The density of states at the Fermi level comes out at 0.000 states/eV/atom. For the volume, the calculation gives 13.53 Å³/atom. The total magnetization is 0.000 μB/cell.

Unit cell a=15.737 b=5.880 c=5.264 alpha=90.00 beta=90.00 gamma=90.00
Space group Pbcn (No. 60)
One atom of each set of equivalent atoms:
Ta: 0.170 0.177 0.198 x8
Pb: 0.000 0.284 0.750 x4
O: 0.093 0.393 0.109 x8
O: 0.111 0.071 0.497 x8
O: 0.243 0.141 0.873 x8

---

<2>
Ta2PbO6 | PBEsol | optimized geometry

Properties
The density of states at the Fermi level comes out at 0.000 states/eV/atom. For the volume, the calculation gives 13.31 Å³/atom. The total magnetization is 0.000 μB/cell.

Unit cell a=11.066 b=7.645 c=5.665 alpha=90.00 beta=90.00 gamma=90.00
Space group Pnma (No. 62)
One atom of each set of equivalent atoms:
Ta: 0.142 0.003 0.037 x8
Pb: 0.038 0.750 0.538 x4
O: 0.022 0.036 0.784 x8
O: 0.131 0.250 0.137 x4
O: 0.147 0.750 0.967 x4
O: 0.216 0.549 0.353 x8

---

Stability verdict: <2>, ahead by 42 meV per atom